Material: TlCr2Hg
Method: DFT, meta-GGA SCAN
State: single point on PBEsol structure

a = 10.6596 Å, b = 3.0765 Å, c = 4.7188 Å
α = 90.00°, β = 114.36°, γ = 90.00°
Fractional positions:
Tl1 0.0000 0.0000 0.0000
Tl2 0.5000 0.5000 0.0000
Cr1 0.2709 0.5000 0.2631
Cr2 0.4483 0.0000 0.4500
Cr3 0.7709 0.0000 0.2631
Cr4 0.9483 0.5000 0.4500
Hg1 0.2149 0.0000 0.7066
Hg2 0.7149 0.5000 0.7066

Properties
E   -351.87 eV for the cell shown
Energy of formation from the pure elements   340 meV/atom



Material: BaScW2
Method: DFT, meta-GGA SCAN
State: single point on PBEsol structure

a = 3.2584 Å, b = 3.2584 Å, c = 8.7901 Å
α = 90.00°, β = 90.00°, γ = 90.00°
Fractional positions:
Ba1 0.0000 0.0000 0.0000
Sc1 0.5000 0.5000 0.3682
W1 0.0000 0.0000 0.5640
W2 0.5000 0.5000 0.7095

Properties
E   -190.96 eV for the cell shown
Energy of formation from the pure elements   550 meV/atom
Energy above the most stable polymorph in this dataset   0 meV/atom



Material: NpF6
Method: DFT, meta-GGA SCAN
State: single point on PBEsol structure

a = 9.8921 Å, b = 8.9872 Å, c = 5.2156 Å
α = 90.00°, β = 90.00°, γ = 90.00°
Fractional positions:
Np1 0.1296 0.2500 0.0764
Np2 0.3704 0.7500 0.5764
Np3 0.6296 0.2500 0.4236
Np4 0.8704 0.7500 0.9236
F1 0.0130 0.0940 0.2327
F2 0.0130 0.4060 0.2327
F3 0.0136 0.2500 0.7643
F4 0.2459 0.0935 0.9211
F5 0.2463 0.2500 0.3884
F6 0.2459 0.4065 0.9211
F7 0.2541 0.5935 0.4211
F8 0.2537 0.7500 0.8884
F9 0.2541 0.9065 0.4211
F10 0.4864 0.7500 0.2643
F11 0.4870 0.5940 0.7327
F12 0.4870 0.9060 0.7327
F13 0.5130 0.0940 0.2673
F14 0.5130 0.4060 0.2673
F15 0.5136 0.2500 0.7357
F16 0.7459 0.0935 0.5789
F17 0.7463 0.2500 0.1116
F18 0.7459 0.4065 0.5789
F19 0.7541 0.5935 0.0789
F20 0.7537 0.7500 0.6116
F21 0.7541 0.9065 0.0789
F22 0.9864 0.7500 0.2357
F23 0.9870 0.5940 0.7673
F24 0.9870 0.9060 0.7673

Properties
E   -601.41 eV for the cell shown
ΔE_f (raw)   -3158 meV/atom



Material: CrCo3
Method: DFT, meta-GGA SCAN
State: single point on PBEsol structure

a = 8.0932 Å, b = 2.4359 Å, c = 4.2301 Å
α = 90.00°, β = 99.87°, γ = 90.00°
Fractional positions:
Cr1 0.0000 0.0000 0.0000
Cr2 0.5000 0.5000 0.0000
Co1 0.0000 0.5000 0.5000
Co2 0.2484 0.0000 0.7478
Co3 0.2516 0.5000 0.2522
Co4 0.5000 0.0000 0.5000
Co5 0.7484 0.5000 0.7478
Co6 0.7516 0.0000 0.2522

Properties
E   -139.12 eV for the cell shown
Energy of formation from the pure elements   184 meV/atom
Energy above the most stable polymorph in this dataset   66 meV/atom



Among the records above, which one has the highest E? CrCo3



Among the records above, which one has the highest E? CrCo3



What did the second record say?
Material: BaScW2
Method: DFT, meta-GGA SCAN
State: single point on PBEsol structure

a = 3.2584 Å, b = 3.2584 Å, c = 8.7901 Å
α = 90.00°, β = 90.00°, γ = 90.00°
Fractional positions:
Ba1 0.0000 0.0000 0.0000
Sc1 0.5000 0.5000 0.3682
W1 0.0000 0.0000 0.5640
W2 0.5000 0.5000 0.7095

Properties
E   -190.96 eV for the cell shown
Energy of formation from the pure elements   550 meV/atom
Energy above the most stable polymorph in this dataset   0 meV/atom